This record from Alexandria describes crystalline ScMnNF2 at its relaxed geometry. The functional is PBE+U.

CIF file:
```
data_ScMnNF2
_cell_length_a 3.9110
_cell_length_b 3.9110
_cell_length_c 4.2564
_cell_angle_alpha 90.00
_cell_angle_beta 90.00
_cell_angle_gamma 90.00
_symmetry_space_group_name_H-M 'P 4/m m m'
_symmetry_Int_Tables_number 123
_symmetry_space_group_name_Hall '-P 4 2'
loop_
_atom_site_label
_atom_site_fract_x
_atom_site_fract_y
_atom_site_fract_z
Sc1 0.0000 0.0000 0.0000
Mn1 0.5000 0.5000 0.5000
N1 0.5000 0.5000 0.0000
F1 0.0000 0.5000 0.5000
```

Calculated values
Magnetic moment (μB per formula unit): 4.98
Final energy (eV for the cell shown): -32.79



This record from Alexandria describes crystalline ScMnN2F at its relaxed geometry. The functional is PBE+U.

CIF file:
```
data_ScMnN2F
_cell_length_a 4.1633
_cell_length_b 4.1633
_cell_length_c 3.9957
_cell_angle_alpha 90.00
_cell_angle_beta 90.00
_cell_angle_gamma 90.00
_symmetry_space_group_name_H-M 'P 4/m m m'
_symmetry_Int_Tables_number 123
_symmetry_space_group_name_Hall '-P 4 2'
loop_
_atom_site_label
_atom_site_fract_x
_atom_site_fract_y
_atom_site_fract_z
Sc1 0.0000 0.0000 0.0000
Mn1 0.5000 0.5000 0.5000
N1 0.0000 0.5000 0.0000
F1 0.0000 0.0000 0.5000
```

Calculated values
Magnetic moment (μB per formula unit): 4.05
Final energy (eV for the cell shown): -34.74



This record from Alexandria describes crystalline ScMnNF2 at its relaxed geometry. The functional is PBE+U.

CIF file:
```
data_ScMnNF2
_cell_length_a 3.9803
_cell_length_b 3.9803
_cell_length_c 4.4038
_cell_angle_alpha 90.00
_cell_angle_beta 90.00
_cell_angle_gamma 90.00
_symmetry_space_group_name_H-M 'P 4/m m m'
_symmetry_Int_Tables_number 123
_symmetry_space_group_name_Hall '-P 4 2'
loop_
_atom_site_label
_atom_site_fract_x
_atom_site_fract_y
_atom_site_fract_z
Sc1 0.0000 0.0000 0.0000
Mn1 0.5000 0.5000 0.5000
N1 0.0000 0.0000 0.5000
F1 0.0000 0.5000 0.0000
```

Calculated values
Magnetic moment (μB per formula unit): 4.99
Final energy (eV for the cell shown): -34.82



This record from Alexandria describes crystalline ScMnN2F at its relaxed geometry. The functional is PBE+U.

CIF file:
```
data_ScMnN2F
_cell_length_a 3.8706
_cell_length_b 3.8706
_cell_length_c 3.7949
_cell_angle_alpha 90.00
_cell_angle_beta 90.00
_cell_angle_gamma 90.00
_symmetry_space_group_name_H-M 'P 4/m m m'
_symmetry_Int_Tables_number 123
_symmetry_space_group_name_Hall '-P 4 2'
loop_
_atom_site_label
_atom_site_fract_x
_atom_site_fract_y
_atom_site_fract_z
Sc1 0.0000 0.0000 0.0000
Mn1 0.5000 0.5000 0.5000
N1 0.0000 0.5000 0.5000
F1 0.5000 0.5000 0.0000
```

Calculated values
Magnetic moment (μB per formula unit): 3.22
Final energy (eV for the cell shown): -35.41



This record from Alexandria describes crystalline MnSe2NF at its relaxed geometry. The functional is PBE+U.

CIF file:
```
data_MnSe2NF
_cell_length_a 5.1072
_cell_length_b 5.1072
_cell_length_c 3.5311
_cell_angle_alpha 90.00
_cell_angle_beta 90.00
_cell_angle_gamma 90.00
_symmetry_space_group_name_H-M 'P 4/m m m'
_symmetry_Int_Tables_number 123
_symmetry_space_group_name_Hall '-P 4 2'
loop_
_atom_site_label
_atom_site_fract_x
_atom_site_fract_y
_atom_site_fract_z
Mn1 0.0000 0.0000 0.0000
Se1 0.0000 0.5000 0.0000
N1 0.0000 0.0000 0.5000
F1 0.5000 0.5000 0.5000
```

Calculated values
Magnetic moment (μB per formula unit): 0.19
Final energy (eV for the cell shown): -21.90



This record from Alexandria describes crystalline MnSe2NF at its relaxed geometry. The functional is PBE+U.

CIF file:
```
data_MnSe2NF
_cell_length_a 4.6334
_cell_length_b 4.6334
_cell_length_c 4.1000
_cell_angle_alpha 90.00
_cell_angle_beta 90.00
_cell_angle_gamma 90.00
_symmetry_space_group_name_H-M 'P 4/m m m'
_symmetry_Int_Tables_number 123
_symmetry_space_group_name_Hall '-P 4 2'
loop_
_atom_site_label
_atom_site_fract_x
_atom_site_fract_y
_atom_site_fract_z
Mn1 0.0000 0.0000 0.0000
Se1 0.0000 0.5000 0.5000
N1 0.5000 0.5000 0.0000
F1 0.5000 0.5000 0.5000
```

Calculated values
Magnetic moment (μB per formula unit): 2.92
Final energy (eV for the cell shown): -19.56



This record from Alexandria describes crystalline MnSiNF2 at its relaxed geometry. The functional is PBE+U.

CIF file:
```
data_MnSiNF2
_cell_length_a 4.2798
_cell_length_b 4.2798
_cell_length_c 3.2653
_cell_angle_alpha 90.00
_cell_angle_beta 90.00
_cell_angle_gamma 90.00
_symmetry_space_group_name_H-M 'P 4/m m m'
_symmetry_Int_Tables_number 123
_symmetry_space_group_name_Hall '-P 4 2'
loop_
_atom_site_label
_atom_site_fract_x
_atom_site_fract_y
_atom_site_fract_z
Mn1 0.0000 0.0000 0.0000
Si1 0.5000 0.5000 0.5000
N1 0.5000 0.5000 0.0000
F1 0.0000 0.5000 0.5000
```

Calculated values
Magnetic moment (μB per formula unit): 4.98
Final energy (eV for the cell shown): -29.77



This record from Alexandria describes crystalline MnSiNF2 at its relaxed geometry. The functional is PBE+U.

CIF file:
```
data_MnSiNF2
_cell_length_a 3.9712
_cell_length_b 3.9712
_cell_length_c 4.0867
_cell_angle_alpha 90.00
_cell_angle_beta 90.00
_cell_angle_gamma 90.00
_symmetry_space_group_name_H-M 'P 4/m m m'
_symmetry_Int_Tables_number 123
_symmetry_space_group_name_Hall '-P 4 2'
loop_
_atom_site_label
_atom_site_fract_x
_atom_site_fract_y
_atom_site_fract_z
Mn1 0.0000 0.0000 0.0000
Si1 0.5000 0.5000 0.5000
N1 0.0000 0.0000 0.5000
F1 0.0000 0.5000 0.0000
```

Calculated values
Magnetic moment (μB per formula unit): 3.99
Final energy (eV for the cell shown): -27.65